<i>
VASP calculation (PBE) on an optimized crystal structure of AlAs2SeI.

V, A^3/atom: 24.7
Fermi-level density of states, states/eV/atom: 0.95

Cell and atoms, written as CIF:
```
data_AlAs2SeI
_chemical_formula_sum 'Al1 As2 Se1 I1'
_cell_length_a 5.1006
_cell_length_b 5.1006
_cell_length_c 4.7436
_cell_angle_alpha 90.00
_cell_angle_beta 90.00
_cell_angle_gamma 90.00
_symmetry_space_group_name_H-M 'P 4/m m m'
_symmetry_Int_Tables_number 123
_symmetry_space_group_name_Hall '-P 4 2'
loop_
_atom_site_label
_atom_site_fract_x
_atom_site_fract_y
_atom_site_fract_z
Al1 0.0000 0.0000 0.0000
As1 0.0000 0.5000 0.0000
Se1 0.0000 0.0000 0.5000
I1 0.5000 0.5000 0.5000
```

=====

<ii>
VASP calculation (PBE) on an optimized crystal structure of AlAs2SeI.

V, A^3/atom: 31.9
Fermi-level density of states, states/eV/atom: 1.24

Cell and atoms, written as CIF:
```
data_AlAs2SeI
_chemical_formula_sum 'Al1 As2 Se1 I1'
_cell_length_a 5.4232
_cell_length_b 5.4232
_cell_length_c 5.4254
_cell_angle_alpha 90.00
_cell_angle_beta 90.00
_cell_angle_gamma 90.00
_symmetry_space_group_name_H-M 'P 4/m m m'
_symmetry_Int_Tables_number 123
_symmetry_space_group_name_Hall '-P 4 2'
loop_
_atom_site_label
_atom_site_fract_x
_atom_site_fract_y
_atom_site_fract_z
Al1 0.0000 0.0000 0.0000
As1 0.0000 0.5000 0.5000
Se1 0.5000 0.5000 0.0000
I1 0.5000 0.5000 0.5000
```

=====

<i> (0.744 eV/atom below the next structure)

=====

<i>
VASP calculation (PBE) on an optimized crystal structure of AlTeAsI2.

V, A^3/atom: 36.4
Fermi-level density of states, states/eV/atom: 0.57

Cell and atoms, written as CIF:
```
data_AlTeAsI2
_chemical_formula_sum 'Al1 Te1 As1 I2'
_cell_length_a 5.7149
_cell_length_b 5.7149
_cell_length_c 5.5750
_cell_angle_alpha 90.00
_cell_angle_beta 90.00
_cell_angle_gamma 90.00
_symmetry_space_group_name_H-M 'P 4/m m m'
_symmetry_Int_Tables_number 123
_symmetry_space_group_name_Hall '-P 4 2'
loop_
_atom_site_label
_atom_site_fract_x
_atom_site_fract_y
_atom_site_fract_z
Al1 0.0000 0.0000 0.0000
Te1 0.5000 0.5000 0.0000
As1 0.5000 0.5000 0.5000
I1 0.0000 0.5000 0.5000
```

=====

<ii>
VASP calculation (PBE) on an optimized crystal structure of AlTeAsI2.

V, A^3/atom: 33.6
Fermi-level density of states, states/eV/atom: 0.49

Cell and atoms, written as CIF:
```
data_AlTeAsI2
_chemical_formula_sum 'Al1 Te1 As1 I2'
_cell_length_a 5.4000
_cell_length_b 5.4000
_cell_length_c 5.7562
_cell_angle_alpha 90.00
_cell_angle_beta 90.00
_cell_angle_gamma 90.00
_symmetry_space_group_name_H-M 'P 4/m m m'
_symmetry_Int_Tables_number 123
_symmetry_space_group_name_Hall '-P 4 2'
loop_
_atom_site_label
_atom_site_fract_x
_atom_site_fract_y
_atom_site_fract_z
Al1 0.0000 0.0000 0.0000
Te1 0.0000 0.0000 0.5000
As1 0.5000 0.5000 0.5000
I1 0.0000 0.5000 0.0000
```

=====

<i> (0.116 eV/atom below the next structure)

=====

<i>
VASP calculation (PBE) on an optimized crystal structure of AlInAs2.

V, A^3/atom: 21.5
Fermi-level density of states, states/eV/atom: 0.43

Cell and atoms, written as CIF:
```
data_AlInAs2
_chemical_formula_sum 'Al2 In2 As4'
_cell_length_a 3.8913
_cell_length_b 3.8913
_cell_length_c 11.3411
_cell_angle_alpha 90.00
_cell_angle_beta 90.00
_cell_angle_gamma 90.00
_symmetry_space_group_name_H-M 'I -4 m 2'
_symmetry_Int_Tables_number 119
_symmetry_space_group_name_Hall 'I -4 -2'
loop_
_atom_site_label
_atom_site_fract_x
_atom_site_fract_y
_atom_site_fract_z
Al1 0.0000 0.0000 0.0000
In1 0.0000 0.5000 0.2500
As1 0.0000 0.0000 0.5000
As2 0.0000 0.5000 0.7500
```

=====

<ii>
VASP calculation (PBE) on an optimized crystal structure of AlInAs2.

V, A^3/atom: 22.6
Fermi-level density of states, states/eV/atom: 0.54

Cell and atoms, written as CIF:
```
data_AlInAs2
_chemical_formula_sum 'Al1 In1 As2'
_cell_length_a 3.6282
_cell_length_b 3.6282
_cell_length_c 6.8569
_cell_angle_alpha 90.00
_cell_angle_beta 90.00
_cell_angle_gamma 90.00
_symmetry_space_group_name_H-M 'P 4 m m'
_symmetry_Int_Tables_number 99
loop_
_symmetry_equiv_pos_as_xyz
'x,y,z'
'-y,x,z'
'-x,-y,z'
'y,-x,z'
'-x,y,z'
'y,x,z'
'x,-y,z'
'-y,-x,z'
loop_
_atom_site_label
_atom_site_fract_x
_atom_site_fract_y
_atom_site_fract_z
Al1 0.0000 0.0000 0.0000
In1 0.5000 0.5000 0.7417
As1 0.0000 0.0000 0.3751
As2 0.5000 0.5000 0.2339
```

=====

<ii> (0.010 eV/atom below the next structure)

=====

<i>
VASP calculation (PBE) on an optimized crystal structure of AlInAs2.

V, A^3/atom: 22.9
Fermi-level density of states, states/eV/atom: 0.19

Cell and atoms, written as CIF:
```
data_AlInAs2
_chemical_formula_sum 'Al1 In1 As2'
_cell_length_a 3.7255
_cell_length_b 3.7255
_cell_length_c 6.5992
_cell_angle_alpha 90.00
_cell_angle_beta 90.00
_cell_angle_gamma 90.00
_symmetry_space_group_name_H-M 'P 4 m m'
_symmetry_Int_Tables_number 99
loop_
_symmetry_equiv_pos_as_xyz
'x,y,z'
'-y,x,z'
'-x,-y,z'
'y,-x,z'
'-x,y,z'
'y,x,z'
'x,-y,z'
'-y,-x,z'
loop_
_atom_site_label
_atom_site_fract_x
_atom_site_fract_y
_atom_site_fract_z
Al1 0.0000 0.0000 0.0000
In1 0.5000 0.5000 0.5099
As1 0.0000 0.0000 0.3785
As2 0.5000 0.5000 0.9159
```

=====

<ii>
VASP calculation (PBE) on an optimized crystal structure of AlInAs2.

V, A^3/atom: 20.4
Fermi-level density of states, states/eV/atom: 0.36

Cell and atoms, written as CIF:
```
data_AlInAs2
_chemical_formula_sum 'Al3 In3 As6'
_cell_length_a 3.0645
_cell_length_b 3.0645
_cell_length_c 30.0945
_cell_angle_alpha 90.00
_cell_angle_beta 90.00
_cell_angle_gamma 120.00
_symmetry_space_group_name_H-M 'R 3 m'
_symmetry_Int_Tables_number 160
_symmetry_space_group_name_Hall 'R 3 -2"'
loop_
_atom_site_label
_atom_site_fract_x
_atom_site_fract_y
_atom_site_fract_z
Al1 0.0000 0.0000 0.0000
In1 0.0000 0.0000 0.7531
As1 0.0000 0.0000 0.2611
As2 0.0000 0.0000 0.5077
```

=====

<i> (0.409 eV/atom below the next structure)

=====

<i>
VASP calculation (PBE) on an optimized crystal structure of AlInAs2.

V, A^3/atom: 22.0
Fermi-level density of states, states/eV/atom: 0.49

Cell and atoms, written as CIF:
```
data_AlInAs2
_chemical_formula_sum 'Al2 In2 As4'
_cell_length_a 7.8016
_cell_length_b 7.8412
_cell_length_c 2.8762
_cell_angle_alpha 90.00
_cell_angle_beta 91.74
_cell_angle_gamma 90.00
_symmetry_space_group_name_H-M 'C 1 2/m 1'
_symmetry_Int_Tables_number 12
loop_
_symmetry_equiv_pos_as_xyz
'x,y,z'
'-x,-y,-z'
'-x,y,-z'
'x,-y,z'
'x+1/2,y+1/2,z'
'-x+1/2,-y+1/2,-z'
'-x+1/2,y+1/2,-z'
'x+1/2,-y+1/2,z'
loop_
_atom_site_label
_atom_site_fract_x
_atom_site_fract_y
_atom_site_fract_z
Al1 0.0000 0.0000 0.0000
In1 0.0000 0.5000 0.0000
As1 0.2500 0.2500 0.0000
```

=====

<ii>
VASP calculation (PBE) on an optimized crystal structure of AlInAs2.

V, A^3/atom: 20.6
Fermi-level density of states, states/eV/atom: 0.49

Cell and atoms, written as CIF:
```
data_AlInAs2
_chemical_formula_sum 'Al2 In2 As4'
_cell_length_a 5.1977
_cell_length_b 5.1977
_cell_length_c 6.1022
_cell_angle_alpha 90.00
_cell_angle_beta 90.00
_cell_angle_gamma 90.00
_symmetry_space_group_name_H-M 'I 4/m m m'
_symmetry_Int_Tables_number 139
_symmetry_space_group_name_Hall '-I 4 2'
loop_
_atom_site_label
_atom_site_fract_x
_atom_site_fract_y
_atom_site_fract_z
Al1 0.0000 0.0000 0.0000
In1 0.0000 0.0000 0.5000
As1 0.0000 0.5000 0.2500
```

=====

<i> (0.078 eV/atom below the next structure)

=====

<i>
VASP calculation (PBE) on an optimized crystal structure of AlInAs2.

V, A^3/atom: 21.6
Fermi-level density of states, states/eV/atom: 0.46

Cell and atoms, written as CIF:
```
data_AlInAs2
_chemical_formula_sum 'Al1 In1 As2'
_cell_length_a 3.5113
_cell_length_b 3.5113
_cell_length_c 7.0154
_cell_angle_alpha 90.00
_cell_angle_beta 90.00
_cell_angle_gamma 90.00
_symmetry_space_group_name_H-M 'P 4/m m m'
_symmetry_Int_Tables_number 123
_symmetry_space_group_name_Hall '-P 4 2'
loop_
_atom_site_label
_atom_site_fract_x
_atom_site_fract_y
_atom_site_fract_z
Al1 0.0000 0.0000 0.0000
In1 0.0000 0.0000 0.5000
As1 0.5000 0.5000 0.1842
```

=====

<ii>
VASP calculation (PBE) on an optimized crystal structure of AlInAs2.

V, A^3/atom: 21.2
Fermi-level density of states, states/eV/atom: 0.62

Cell and atoms, written as CIF:
```
data_AlInAs2
_chemical_formula_sum 'Al3 In3 As6'
_cell_length_a 3.8629
_cell_length_b 3.8629
_cell_length_c 19.6890
_cell_angle_alpha 90.00
_cell_angle_beta 90.00
_cell_angle_gamma 120.00
_symmetry_space_group_name_H-M 'R -3 m'
_symmetry_Int_Tables_number 166
_symmetry_space_group_name_Hall '-R 3 2"'
loop_
_atom_site_label
_atom_site_fract_x
_atom_site_fract_y
_atom_site_fract_z
Al1 0.0000 0.0000 0.0000
In1 0.0000 0.0000 0.5000
As1 0.0000 0.0000 0.2602
```

=====

<iii>
VASP calculation (PBE) on an optimized crystal structure of AlInAs2.

V, A^3/atom: 23.2
Fermi-level density of states, states/eV/atom: 0.39

Cell and atoms, written as CIF:
```
data_AlInAs2
_chemical_formula_sum 'Al2 In2 As4'
_cell_length_a 7.4867
_cell_length_b 3.7343
_cell_length_c 6.6409
_cell_angle_alpha 90.00
_cell_angle_beta 90.36
_cell_angle_gamma 90.00
_symmetry_space_group_name_H-M 'C 1 m 1'
_symmetry_Int_Tables_number 8
loop_
_symmetry_equiv_pos_as_xyz
'x,y,z'
'x,-y,z'
'x+1/2,y+1/2,z'
'x+1/2,-y+1/2,z'
loop_
_atom_site_label
_atom_site_fract_x
_atom_site_fract_y
_atom_site_fract_z
Al1 0.0000 0.0000 0.0000
In1 0.1956 0.0000 0.5001
As1 0.1974 0.5000 0.1678
As2 0.4935 0.0000 0.7254
```

=====

<iii> (0.008 eV/atom below the next structure)

=====

<i>
VASP calculation (PBE) on an optimized crystal structure of Al3InAs.

V, A^3/atom: 24.3
Fermi-level density of states, states/eV/atom: 0.59

Cell and atoms, written as CIF:
```
data_Al3InAs
_chemical_formula_sum 'Al3 In1 As1'
_cell_length_a 4.9505
_cell_length_b 4.9505
_cell_length_c 4.9505
_cell_angle_alpha 90.00
_cell_angle_beta 90.00
_cell_angle_gamma 90.00
_symmetry_space_group_name_H-M 'P m -3 m'
_symmetry_Int_Tables_number 221
_symmetry_space_group_name_Hall '-P 4 2 3'
loop_
_atom_site_label
_atom_site_fract_x
_atom_site_fract_y
_atom_site_fract_z
Al1 0.0000 0.0000 0.5000
In1 0.5000 0.5000 0.5000
As1 0.0000 0.0000 0.0000
```

=====

<ii>
VASP calculation (PBE) on an optimized crystal structure of Al3InAs.

V, A^3/atom: 26.8
Fermi-level density of states, states/eV/atom: 0.47

Cell and atoms, written as CIF:
```
data_Al3InAs
_chemical_formula_sum 'Al3 In1 As1'
_cell_length_a 5.1141
_cell_length_b 5.1141
_cell_length_c 5.1141
_cell_angle_alpha 90.00
_cell_angle_beta 90.00
_cell_angle_gamma 90.00
_symmetry_space_group_name_H-M 'P m -3 m'
_symmetry_Int_Tables_number 221
_symmetry_space_group_name_Hall '-P 4 2 3'
loop_
_atom_site_label
_atom_site_fract_x
_atom_site_fract_y
_atom_site_fract_z
Al1 0.0000 0.0000 0.5000
In1 0.0000 0.0000 0.0000
As1 0.5000 0.5000 0.5000
```

=====

<i> (0.400 eV/atom below the next structure)

=====

<i>
VASP calculation (PBE) on an optimized crystal structure of AlInAs2Se.

V, A^3/atom: 24.5
Fermi-level density of states, states/eV/atom: 1.04

Cell and atoms, written as CIF:
```
data_AlInAs2Se
_chemical_formula_sum 'Al1 In1 As2 Se1'
_cell_length_a 4.9394
_cell_length_b 4.9394
_cell_length_c 5.0226
_cell_angle_alpha 90.00
_cell_angle_beta 90.00
_cell_angle_gamma 90.00
_symmetry_space_group_name_H-M 'P 4/m m m'
_symmetry_Int_Tables_number 123
_symmetry_space_group_name_Hall '-P 4 2'
loop_
_atom_site_label
_atom_site_fract_x
_atom_site_fract_y
_atom_site_fract_z
Al1 0.0000 0.0000 0.0000
In1 0.5000 0.5000 0.5000
As1 0.0000 0.5000 0.0000
Se1 0.0000 0.0000 0.5000
```

=====

<ii>
VASP calculation (PBE) on an optimized crystal structure of AlInAs2Se.

V, A^3/atom: 29.7
Fermi-level density of states, states/eV/atom: 0.92

Cell and atoms, written as CIF:
```
data_AlInAs2Se
_chemical_formula_sum 'Al1 In1 As2 Se1'
_cell_length_a 5.2563
_cell_length_b 5.2563
_cell_length_c 5.3673
_cell_angle_alpha 90.00
_cell_angle_beta 90.00
_cell_angle_gamma 90.00
_symmetry_space_group_name_H-M 'P 4/m m m'
_symmetry_Int_Tables_number 123
_symmetry_space_group_name_Hall '-P 4 2'
loop_
_atom_site_label
_atom_site_fract_x
_atom_site_fract_y
_atom_site_fract_z
Al1 0.0000 0.0000 0.0000
In1 0.5000 0.5000 0.5000
As1 0.0000 0.5000 0.5000
Se1 0.5000 0.5000 0.0000
```

=====

<i> (0.549 eV/atom below the next structure)